Entry from Alexandria via LeMat-Bulk: a relaxed K3As2Se4 crystal (PBE-GGA).

Calculated values
Uncorrected energy: -0.134 Ha/atom
Uncorrected formation energy: -6.319 eV per formula unit
D(E_F): 3.251 states/eV/f.u.
Distance to the lowest polymorph of the same formula: 0 meV per atom
Crystal system: monoclinic

Cell lengths 15.4919, 9.4845, 8.6577 Å; angles 90.00, 93.42, 90.00 degrees
Last column: nearest neighbours and their distance in Å.
Space group C2/c (No. 15)
Asymmetric unit:
K 0.0000 0.0080 0.2500  6 Se 3.44-3.59
K 0.1279 0.4074 0.8635  6 Se 3.29-3.67
As 0.1916 0.1533 0.5298  2 Se 2.37-2.38, 1 As 2.65
Se 0.0582 0.2761 0.5024  1 As 2.37
Se 0.2186 0.1012 0.7970  1 As 2.38